This record from Alexandria describes a relaxed structure of Ac4GaAs3. The functional is PBE.

Lattice parameters (Å, degrees): 6.456 6.456 6.456 90.00 90.00 90.00
Fractional positions:
1 Ac 0.000 0.000 0.500
2 Ac 0.500 0.500 0.500
3 Ac 0.500 0.000 0.000
4 Ac 0.000 0.500 0.000
5 As 0.500 0.500 0.000
6 As 0.500 0.000 0.500
7 As 0.000 0.500 0.500
8 Ga 0.000 0.000 0.000

Summary:
ρ ... 7.420 Mg/m³
DFT formation energy ... -1.126 eV/atom
N(E_F) ... 5.8 states/eV per cell
Total magnetic moment ... 0.00 μB per formula unit
Symmetry ... No. 221